1.
# PBE ZrPPt, relaxed
data_ZrPPt
_chemical_formula_sum 'Zr2 P2 Pt2'
_symmetry_space_group_name_H-M 'I 4 m m'
_symmetry_Int_Tables_number 107
_symmetry_space_group_name_Hall 'I 4 -2'
_cell_length_a 3.627
_cell_length_b 3.627
_cell_length_c 8.024
_cell_angle_alpha 90.00
_cell_angle_beta 90.00
_cell_angle_gamma 90.00
loop_
_atom_site_label
_atom_site_type_symbol
_atom_site_fract_x
_atom_site_fract_y
_atom_site_fract_z
Zr1 Zr 0.000 0.000 0.000
P1 P 0.000 0.000 0.343
Pt1 Pt 0.000 0.000 0.659
# Volume   17.6 Å³/atom
# Mass density   10.0 g cm⁻³
# Energy of formation   -0.702 eV/atom



2.
# PBE ZrPPt2, relaxed
data_ZrPPt2
_chemical_formula_sum 'Zr1 P1 Pt2'
_symmetry_space_group_name_H-M 'P 1 2/m 1'
_symmetry_Int_Tables_number 10
_symmetry_space_group_name_Hall '-P 2y'
_cell_length_a 3.485
_cell_length_b 3.982
_cell_length_c 5.252
_cell_angle_alpha 90.00
_cell_angle_beta 108.03
_cell_angle_gamma 90.00
loop_
_atom_site_label
_atom_site_type_symbol
_atom_site_fract_x
_atom_site_fract_y
_atom_site_fract_z
Zr1 Zr 0.000 0.000 0.000
P1 P 0.500 0.000 0.500
Pt1 Pt 0.378 0.500 0.732
# Volume   17.3 Å³/atom
# Mass density   12.3 g cm⁻³
# Energy of formation   -0.755 eV/atom



energy of formation of number 1 (ZrPPt)? -0.702 eV/atom